# 1
A relaxed structure of Cs4MgPb4, computed with PBE.

Cell: 10.3513 10.3513 10.3513 Å, 135.53 135.53 64.71°
Last column: nearest neighbours and their distance in Å.
Fractional coordinates of all 9 atoms:
Cs: 0.1923 0.1923 0.6470  3 Pb 3.89-3.90, 1 Cs 3.91, 1 Mg 4.26
Cs: 0.4547 0.8077 0.0000  3 Pb 3.89-3.90, 1 Cs 3.91, 1 Mg 4.26
Cs: 0.5453 0.5453 0.3530  3 Pb 3.89-3.90, 1 Cs 3.91, 1 Mg 4.26
Cs: 0.8077 0.4547 0.0000  3 Pb 3.89-3.90, 1 Cs 3.91, 1 Mg 4.26
Mg: 0.0000 0.0000 0.0000  4 Pb 2.98
Pb: 0.0121 0.0121 0.7295  1 Mg 2.98, 1 Pb 3.00
Pb: 0.2826 0.2826 0.2705  1 Mg 2.98, 1 Pb 3.00
Pb: 0.7174 0.9879 0.0000  1 Mg 2.98, 1 Pb 3.00
Pb: 0.9879 0.7174 0.0000  1 Mg 2.98, 1 Pb 3.00

Properties
The formation energy from the elements is 70.5 meV/atom. The calculation puts the volume at 536.68 Å³/cell. The total energy is -2.1342 eV/atom. The value obtained for the magnetic moment is 0.19 μB per atom.



# 2
A relaxed structure of BaNdZnSn, computed with PBE.

Cell: 7.9646 7.9646 7.9646 Å, 90.00 90.00 90.00°
Last column: nearest neighbours and their distance in Å.
Fractional coordinates of all 16 atoms:
Ba: 0.0000 0.0000 0.0000  4 Zn 3.45, 4 Sn 3.45
Ba: 0.0000 0.5000 0.5000  4 Sn 3.45, 4 Zn 3.45
Ba: 0.5000 0.0000 0.5000  4 Sn 3.45, 4 Zn 3.45
Ba: 0.5000 0.5000 0.0000  4 Sn 3.45, 4 Zn 3.45
Nd: 0.0000 0.0000 0.5000  4 Sn 3.45, 4 Zn 3.45
Nd: 0.0000 0.5000 0.0000  4 Sn 3.45, 4 Zn 3.45
Nd: 0.5000 0.0000 0.0000  4 Sn 3.45, 4 Zn 3.45
Nd: 0.5000 0.5000 0.5000  4 Sn 3.45, 4 Zn 3.45
Zn: 0.2500 0.2500 0.2500  4 Ba 3.45, 4 Nd 3.45
Zn: 0.2500 0.7500 0.7500  4 Ba 3.45, 4 Nd 3.45
Zn: 0.7500 0.2500 0.7500  4 Ba 3.45, 4 Nd 3.45
Zn: 0.7500 0.7500 0.2500  4 Ba 3.45, 4 Nd 3.45
Sn: 0.2500 0.2500 0.7500  4 Ba 3.45, 4 Nd 3.45
Sn: 0.2500 0.7500 0.2500  4 Ba 3.45, 4 Nd 3.45
Sn: 0.7500 0.2500 0.2500  4 Ba 3.45, 4 Nd 3.45
Sn: 0.7500 0.7500 0.7500  4 Ba 3.45, 4 Nd 3.45

Properties
The formation energy from the elements is -360.8 meV/atom. The calculation puts the volume at 505.23 Å³/cell. The total energy is -3.3526 eV/atom. The value obtained for the magnetic moment is 0.00 μB per atom.



What did the first record say?
A relaxed structure of Cs4MgPb4, computed with PBE.

Cell: 10.3513 10.3513 10.3513 Å, 135.53 135.53 64.71°
Last column: nearest neighbours and their distance in Å.
Fractional coordinates of all 9 atoms:
Cs: 0.1923 0.1923 0.6470  3 Pb 3.89-3.90, 1 Cs 3.91, 1 Mg 4.26
Cs: 0.4547 0.8077 0.0000  3 Pb 3.89-3.90, 1 Cs 3.91, 1 Mg 4.26
Cs: 0.5453 0.5453 0.3530  3 Pb 3.89-3.90, 1 Cs 3.91, 1 Mg 4.26
Cs: 0.8077 0.4547 0.0000  3 Pb 3.89-3.90, 1 Cs 3.91, 1 Mg 4.26
Mg: 0.0000 0.0000 0.0000  4 Pb 2.98
Pb: 0.0121 0.0121 0.7295  1 Mg 2.98, 1 Pb 3.00
Pb: 0.2826 0.2826 0.2705  1 Mg 2.98, 1 Pb 3.00
Pb: 0.7174 0.9879 0.0000  1 Mg 2.98, 1 Pb 3.00
Pb: 0.9879 0.7174 0.0000  1 Mg 2.98, 1 Pb 3.00

Properties
The formation energy from the elements is 70.5 meV/atom. The calculation puts the volume at 536.68 Å³/cell. The total energy is -2.1342 eV/atom. The value obtained for the magnetic moment is 0.19 μB per atom.